Computed, not measured: a relaxed structure of MnOs at the PBE-GGA level of DFT.

The structure in CIF format:
```
data_MnOs
_space_group_name_H-M_alt 'P 4/n m m'
_space_group_IT_number 129
_cell_length_a 2.887
_cell_length_b 2.887
_cell_length_c 6.080
_cell_angle_alpha 90.00
_cell_angle_beta 90.00
_cell_angle_gamma 90.00
loop_
_space_group_symop_operation_xyz
'x,y,z'
'-x,-y,-z'
'-y+1/2,x,z'
'y+1/2,-x,-z'
'-x+1/2,-y+1/2,z'
'x+1/2,y+1/2,-z'
'y,-x+1/2,z'
'-y,x+1/2,-z'
'x+1/2,-y,-z'
'-x+1/2,y,z'
'-y,-x,-z'
'y,x,z'
'-x,y+1/2,-z'
'x,-y+1/2,z'
'y+1/2,x+1/2,-z'
'-y+1/2,-x+1/2,z'
loop_
_atom_site_label
_atom_site_fract_x
_atom_site_fract_y
_atom_site_fract_z
_atom_site_occupancy
Mn1 0.250 0.250 0.078 1
Os1 0.250 0.250 0.646 1
```

## Properties
- Formation enthalpy at 0 K: 0.4 eV per formula unit
- Total energy: -9.981 eV/atom

=====

Computed, not measured: a relaxed structure of MnOs2 at the PBE-GGA level of DFT.

The structure in CIF format:
```
data_MnOs2
_space_group_name_H-M_alt 'C m c m'
_space_group_IT_number 63
_space_group_name_Hall '-C 2c 2'
_cell_length_a 3.776
_cell_length_b 11.379
_cell_length_c 3.786
_cell_angle_alpha 90.00
_cell_angle_beta 90.00
_cell_angle_gamma 90.00
loop_
_atom_site_label
_atom_site_fract_x
_atom_site_fract_y
_atom_site_fract_z
_atom_site_occupancy
Mn1 0.000 0.085 0.250 1
Os1 0.000 0.247 0.750 1
Os2 0.000 0.417 0.250 1
```

## Properties
- Formation enthalpy at 0 K: 0.3 eV per formula unit
- Total energy: -10.450 eV/atom

=====

Computed, not measured: a relaxed structure of MnOs2 at the PBE-GGA level of DFT.

The structure in CIF format:
```
data_MnOs2
_space_group_name_H-M_alt 'I m m m'
_space_group_IT_number 71
_space_group_name_Hall '-I 2 2'
_cell_length_a 2.694
_cell_length_b 3.760
_cell_length_c 7.994
_cell_angle_alpha 90.00
_cell_angle_beta 90.00
_cell_angle_gamma 90.00
loop_
_atom_site_label
_atom_site_fract_x
_atom_site_fract_y
_atom_site_fract_z
_atom_site_occupancy
Mn1 0.000 0.000 0.000 1
Os1 0.000 0.000 0.334 1
```

## Properties
- Formation enthalpy at 0 K: 0.3 eV per formula unit
- Total energy: -10.445 eV/atom

=====

Computed, not measured: a relaxed structure of MnOs5 at the PBE-GGA level of DFT.

The structure in CIF format:
```
data_MnOs5
_space_group_name_H-M_alt 'P 1 21/m 1'
_space_group_IT_number 11
_space_group_name_Hall '-P 2yb'
_cell_length_a 5.155
_cell_length_b 4.155
_cell_length_c 8.107
_cell_angle_alpha 90.00
_cell_angle_beta 105.21
_cell_angle_gamma 90.00
loop_
_atom_site_label
_atom_site_fract_x
_atom_site_fract_y
_atom_site_fract_z
_atom_site_occupancy
Mn1 0.133 0.250 0.188 1
Os1 0.129 0.250 0.857 1
Os2 0.140 0.250 0.522 1
Os3 0.336 0.750 0.387 1
Os4 0.337 0.750 0.056 1
Os5 0.347 0.750 0.727 1
```

## Properties
- Formation enthalpy at 0 K: 0.9 eV per formula unit
- Total energy: -10.734 eV/atom

=====

Computed, not measured: a relaxed structure of MnOs at the PBE-GGA level of DFT.

The structure in CIF format:
```
data_MnOs
_space_group_name_H-M_alt 'I 4/m m m'
_space_group_IT_number 139
_space_group_name_Hall '-I 4 2'
_cell_length_a 7.794
_cell_length_b 7.794
_cell_length_c 3.595
_cell_angle_alpha 90.00
_cell_angle_beta 90.00
_cell_angle_gamma 90.00
loop_
_atom_site_label
_atom_site_fract_x
_atom_site_fract_y
_atom_site_fract_z
_atom_site_occupancy
Mn1 0.000 0.349 0.000 1
Os1 0.168 0.168 0.500 1
```

## Properties
- Formation enthalpy at 0 K: 0.6 eV per formula unit
- Total energy: -9.885 eV/atom

=====

Computed, not measured: a relaxed structure of MnOs5 at the PBE-GGA level of DFT.

The structure in CIF format:
```
data_MnOs5
_space_group_name_H-M_alt 'P 6/m m m'
_space_group_IT_number 191
_space_group_name_Hall '-P 6 2'
_cell_length_a 5.0382
_cell_length_b 5.0382
_cell_length_c 4.5188
_cell_angle_alpha 90.00
_cell_angle_beta 90.00
_cell_angle_gamma 120.00
loop_
_atom_site_label
_atom_site_fract_x
_atom_site_fract_y
_atom_site_fract_z
_atom_site_occupancy
Mn1 0.0000 0.0000 0.0000 1
Os1 0.0000 0.5000 0.5000 1
Os2 0.3333 0.6667 0.0000 1
```

## Properties
- Formation enthalpy at 0 K: 5.0 eV per formula unit
- Total energy: -10.048 eV/atom

=====

Computed, not measured: a relaxed structure of MnOs at the PBE-GGA level of DFT.

The structure in CIF format:
```
data_MnOs
_space_group_name_H-M_alt 'R -3 m'
_space_group_IT_number 166
_space_group_name_Hall '-R 3 2"'
_cell_length_a 2.6636
_cell_length_b 2.6636
_cell_length_c 25.3515
_cell_angle_alpha 90.00
_cell_angle_beta 90.00
_cell_angle_gamma 120.00
loop_
_atom_site_label
_atom_site_fract_x
_atom_site_fract_y
_atom_site_fract_z
_atom_site_occupancy
Mn1 0.0000 0.0000 0.1272 1
Os1 0.0000 0.0000 0.3793 1
```

## Properties
- Formation enthalpy at 0 K: 0.4 eV per formula unit
- Total energy: -10.021 eV/atom

=====

Computed, not measured: a relaxed structure of Mn2Os at the PBE-GGA level of DFT.

The structure in CIF format:
```
data_Mn2Os
_space_group_name_H-M_alt 'F m -3 m'
_space_group_IT_number 225
_space_group_name_Hall '-F 4 2 3'
_cell_length_a 5.610
_cell_length_b 5.610
_cell_length_c 5.610
_cell_angle_alpha 90.00
_cell_angle_beta 90.00
_cell_angle_gamma 90.00
loop_
_atom_site_label
_atom_site_fract_x
_atom_site_fract_y
_atom_site_fract_z
_atom_site_occupancy
Mn1 0.250 0.250 0.250 1
Os1 0.000 0.000 0.000 1
```

## Properties
- Formation enthalpy at 0 K: 1.9 eV per formula unit
- Total energy: -9.215 eV/atom

=====

Computed, not measured: a relaxed structure of MnOs2 at the PBE-GGA level of DFT.

The structure in CIF format:
```
data_MnOs2
_space_group_name_H-M_alt 'P -6 2 m'
_space_group_IT_number 189
_space_group_name_Hall 'P -6 -2'
_cell_length_a 6.1783
_cell_length_b 6.1783
_cell_length_c 3.7678
_cell_angle_alpha 90.00
_cell_angle_beta 90.00
_cell_angle_gamma 120.00
loop_
_atom_site_label
_atom_site_fract_x
_atom_site_fract_y
_atom_site_fract_z
_atom_site_occupancy
Mn1 0.0000 0.0000 0.0000 1
Mn2 0.3333 0.6667 0.5000 1
Os1 0.0000 0.2564 0.5000 1
Os2 0.0000 0.6023 0.0000 1
```

## Properties
- Formation enthalpy at 0 K: 1.4 eV per formula unit
- Total energy: -10.069 eV/atom

=====

Computed, not measured: a relaxed structure of Mn2Os at the PBE-GGA level of DFT.

The structure in CIF format:
```
data_Mn2Os
_space_group_name_H-M_alt 'C m c m'
_space_group_IT_number 63
_space_group_name_Hall '-C 2c 2'
_cell_length_a 2.631
_cell_length_b 13.363
_cell_length_c 4.114
_cell_angle_alpha 90.00
_cell_angle_beta 90.00
_cell_angle_gamma 90.00
loop_
_atom_site_label
_atom_site_fract_x
_atom_site_fract_y
_atom_site_fract_z
_atom_site_occupancy
Mn1 0.000 0.057 0.250 1
Mn2 0.000 0.278 0.750 1
Os1 0.000 0.389 0.250 1
```

## Properties
- Formation enthalpy at 0 K: 0.0 eV per formula unit
- Total energy: -9.860 eV/atom

=====

Computed, not measured: a relaxed structure of Mn2Os at the PBE-GGA level of DFT.

The structure in CIF format:
```
data_Mn2Os
_space_group_name_H-M_alt 'P -6 2 m'
_space_group_IT_number 189
_space_group_name_Hall 'P -6 -2'
_cell_length_a 6.1789
_cell_length_b 6.1789
_cell_length_c 3.7933
_cell_angle_alpha 90.00
_cell_angle_beta 90.00
_cell_angle_gamma 120.00
loop_
_atom_site_label
_atom_site_fract_x
_atom_site_fract_y
_atom_site_fract_z
_atom_site_occupancy
Mn1 0.0000 0.2508 0.0000 1
Mn2 0.0000 0.5881 0.5000 1
Os1 0.0000 0.0000 0.5000 1
Os2 0.3333 0.6667 0.0000 1
```

## Properties
- Formation enthalpy at 0 K: 1.2 eV per formula unit
- Total energy: -9.453 eV/atom

=====

Computed, not measured: a relaxed structure of Mn2Os at the PBE-GGA level of DFT.

The structure in CIF format:
```
data_Mn2Os
_space_group_name_H-M_alt 'I m m a'
_space_group_IT_number 74
_space_group_name_Hall '-I 2b 2'
_cell_length_a 2.621
_cell_length_b 3.934
_cell_length_c 14.880
_cell_angle_alpha 90.00
_cell_angle_beta 90.00
_cell_angle_gamma 90.00
loop_
_atom_site_label
_atom_site_fract_x
_atom_site_fract_y
_atom_site_fract_z
_atom_site_occupancy
Mn1 0.000 0.250 0.034 1
Mn2 0.000 0.250 0.189 1
Os1 0.000 0.250 0.619 1
```

## Properties
- Formation enthalpy at 0 K: 0.9 eV per formula unit
- Total energy: -9.541 eV/atom

=====

total energy of number 1 (MnOs)?
-9.981 eV/atom

=====

Which formula does entry 2 have?
MnOs2

=====

Number 5 is which compound?
MnOs

=====

What is the formula in the eighth record?
Mn2Os